Computed, not measured: a relaxed BaLi2Ca crystal at the PBE level of DFT.

a b c (Å): 6.8151 6.8151 6.8151
angles (deg): 135.95 135.95 64.06
Element x y z (fractional)
Ba: 0.5000 0.5000 0.0000
Ca: 0.7500 0.2500 0.5000
Li: 0.0000 0.0000 0.0000
Li: 0.2500 0.7500 0.5000

Calculated values
The value obtained for the formation enthalpy at 0 K is 12.0 kJ per mole of atoms. As for the theoretical density: 2.104 g cm⁻³. The total magnetization is 0.000 μB per formula unit. The total DFT energy (no corrections) comes out at -7.26 eV for the cell shown. The density of states at the Fermi level comes out at 2.9 states/eV/f.u. As for the space-group type: I-4m2, No. 119. Its energy above the most stable polymorph in this dataset is 89.4 meV per atom.